# 1
Compound: SrZn3Pd2
Source: the Alexandria database
Functional: GGA-PBE
Structure: optimized geometry

```
12
Lattice="5.6446 0.0000 0.0000 0.0000 6.5071 0.0567 0.0000 -1.2517 6.3859" Properties=species:S:1:pos:R:3 pbc="T T T"
Sr 1.4111 1.7512 2.1467
Sr 4.2334 3.5043 4.2958
Zn 4.2334 2.8645 0.5859
Zn 4.2334 -0.0015 2.9238
Zn 1.4111 2.3910 5.8567
Zn 4.2334 0.3066 0.3758
Zn 1.4111 4.9489 6.0667
Zn 1.4111 5.2570 3.5187
Pd 2.8223 4.8458 1.4119
Pd 0.0000 4.8458 1.4119
Pd 0.0000 0.4096 5.0306
Pd 2.8223 0.4096 5.0306
```

- calculated density (g/cm3) = 7.0
- formation enthalpy at 0 K (eV per atom) = -0.516
- size of the total moment (μB per cell) = 0.00
- uncorrected energy (eV/atom) = -3.1642
- symmetry = Cmcm


# 2
Compound: Sr2ZnPd3
Source: the Alexandria database
Functional: GGA-PBE
Structure: optimized geometry

```
6
Lattice="-1.5477 -0.4118 4.2400 5.2851 -0.7420 1.8571 -1.3421 6.1677 -2.3133" Properties=species:S:1:pos:R:3 pbc="T T T"
Sr -0.5804 1.8484 2.3902
Sr 2.9756 3.1654 1.3936
Zn 2.6425 -0.3710 0.9286
Pd 0.4038 4.2876 0.5639
Pd 0.0000 0.0000 0.0000
Pd 1.9914 0.7263 3.2199
```

- calculated density (g/cm3) = 6.4
- formation enthalpy at 0 K (eV per atom) = -0.336
- size of the total moment (μB per cell) = 0.00
- ΔE to the lowest computed polymorph (eV/f.u.) = 1.65
- uncorrected energy (eV/atom) = -3.7052
- symmetry = Immm


# 3
Compound: SrZn2Pd2
Source: the Alexandria database
Functional: GGA-PBE
Structure: optimized geometry

```
10
Lattice="-2.2288 -7.2430 1.8674 6.9146 -2.7382 -2.3677 1.0984 0.3767 2.7722" Properties=species:S:1:pos:R:3 pbc="T T T"
Sr 0.0000 0.0000 0.0000
Sr 2.3429 -4.9906 -0.2502
Zn 4.6208 -2.4892 0.1367
Zn 5.1508 -6.7619 0.5073
Zn 1.1635 -7.1152 2.1352
Zn 0.6335 -2.8426 1.7646
Pd 5.0557 -4.7736 -1.3545
Pd 2.6815 -7.8963 0.0106
Pd -0.3698 -5.2075 0.8542
Pd 2.0044 -2.0849 -0.5109
```

- calculated density (g/cm3) = 7.8
- formation enthalpy at 0 K (eV per atom) = -0.430
- size of the total moment (μB per cell) = 0.00
- ΔE to the lowest computed polymorph (eV/f.u.) = 0.67
- uncorrected energy (eV/atom) = -3.3536
- symmetry = P4/mbm